Here is a relaxed AgTePbO6 crystal from Alexandria via LeMat-Bulk. Energies are from PBE.

a b c (Å): 5.523 5.523 9.529
angles (deg): 90.00 90.00 120.00
Fractional coordinates of all 18 atoms:
Ag  0.000  0.000  0.000
Ag  0.000  0.000  0.500
Te  0.667  0.333  0.250
Te  0.333  0.667  0.750
Pb  0.333  0.667  0.250
Pb  0.667  0.333  0.750
O  0.655  0.623  0.134
O  0.968  0.345  0.134
O  0.345  0.968  0.634
O  0.032  0.655  0.866
O  0.377  0.345  0.366
O  0.968  0.623  0.366
O  0.623  0.968  0.866
O  0.655  0.032  0.366
O  0.032  0.377  0.634
O  0.377  0.032  0.134
O  0.623  0.655  0.634
O  0.345  0.377  0.866

Properties
Formation energy without anion corrections = -0.64 eV/atom
Crystal system = trigonal